! GGA-PBE Y4Pt, relaxed; values from VASP
&SYSTEM
  ibrav = 0, nat = 5, ntyp = 2
/
ATOMIC_SPECIES
Y 88.91 Y.upf
Pt 195.08 Pt.upf
CELL_PARAMETERS angstrom
-4.401 4.401 1.818
4.401 -4.401 1.818
4.401 4.401 -1.818
ATOMIC_POSITIONS angstrom
Y 2.299 0.667 0.000
Y 3.734 -2.102 1.818
Y 0.667 6.504 0.000
Y 2.102 3.734 1.818
Pt 0.000 0.000 1.818
! Space-group type   No. 87
! Density   6.49 Mg/m³
! E   -6.88 eV/atom
! DFT formation energy   -2.48 eV per formula unit



! GGA-PBE CaPPtO2, relaxed; values from VASP
&SYSTEM
  ibrav = 0, nat = 5, ntyp = 4
/
ATOMIC_SPECIES
Ca 40.08 Ca.upf
P 30.97 P.upf
Pt 195.08 Pt.upf
O 16.00 O.upf
CELL_PARAMETERS angstrom
3.978 0.000 0.000
0.000 3.978 0.000
0.000 0.000 7.260
ATOMIC_POSITIONS angstrom
Ca 0.000 0.000 0.000
P 0.000 0.000 3.630
Pt 1.989 1.989 3.630
O 0.000 1.989 0.000
O 1.989 0.000 0.000
! Space-group type   No. 123
! Density   4.31 Mg/m³
! E   -4.38 eV/atom
! Formation energy from raw total energies   1.49 eV per formula unit



! GGA-PBE VHAu2, relaxed; values from VASP
&SYSTEM
  ibrav = 0, nat = 8, ntyp = 3
/
ATOMIC_SPECIES
V 50.94 V.upf
H 1.01 H.upf
Au 196.97 Au.upf
CELL_PARAMETERS angstrom
-3.299 3.299 2.610
3.299 -3.299 2.610
3.299 3.299 -2.610
ATOMIC_POSITIONS angstrom
V 0.000 0.000 0.000
V 0.000 3.299 1.305
H 3.299 0.000 1.305
H 0.000 0.000 2.610
Au 1.649 -1.073 1.957
Au 2.226 1.649 0.652
Au 1.649 4.372 -0.652
Au 1.073 1.649 3.262
! Space-group type   No. 122
! Density   13.04 Mg/m³
! E   -4.38 eV/atom



! GGA-PBE Gd2FePd, relaxed; values from VASP
&SYSTEM
  ibrav = 0, nat = 4, ntyp = 3
/
ATOMIC_SPECIES
Gd 157.25 Gd.upf
Fe 55.84 Fe.upf
Pd 106.42 Pd.upf
CELL_PARAMETERS angstrom
3.472 0.000 0.000
0.000 3.472 0.000
0.000 0.000 6.983
ATOMIC_POSITIONS angstrom
Gd 0.000 0.000 1.675
Gd 0.000 0.000 5.308
Fe 1.736 1.736 0.000
Pd 1.736 1.736 3.492
! Space-group type   No. 123
! Density   9.40 Mg/m³
! E   -10.81 eV/atom
! DFT formation energy   -1.44 eV per formula unit